NaMnNi, optimized geometry, DFT PBE-GGA; polymorph energy (0 for the lowest one) = 0 meV/atom; symmetry = P2_1/m (11); DFT total energy = -15.6 eV/f.u.; formation enthalpy at 0 K = 0.23 eV/atom; magnetic moment = 8.5 Bohr magnetons per cell
1.0
-0.646 1.480 -2.356
2.012 -2.227 -1.951
-9.183 -4.961 -3.809
Ni Mn Na
2 2 2
Direct
0.397 0.750 0.841
0.603 0.250 0.159
0.819 0.250 0.926
0.181 0.750 0.074
0.919 0.750 0.355
0.081 0.250 0.645